1.
Entry from Alexandria: a relaxed structure of Sm5YEr4 (PBE).

Values from the calculation:
Relative energy among the computed polymorphs ... 0 meV/atom

```
Sm5YEr4
1.0
8.521 -1.773 0.000
8.521 1.773 0.000
-3.692 0.000 10.779
Sm Y Er
5 1 4
Cartesian
0.000 0.000 0.000
3.500 0.000 4.137
1.894 0.000 9.952
11.455 0.000 0.827
9.849 0.000 6.642
-1.846 0.000 5.390
-1.148 0.000 8.577
4.510 0.000 7.626
8.839 0.000 3.154
14.498 0.000 2.202
```



2.
Entry from Alexandria: a relaxed structure of Sm2Y5Er4 (PBE).

Values from the calculation:
Relative energy among the computed polymorphs ... 5 meV/atom

```
Sm2Y5Er4
1.0
11.965 -1.768 0.000
11.965 1.768 0.000
-0.760 0.000 8.517
Sm Y Er
2 5 4
Cartesian
5.103 0.000 2.788
18.067 0.000 5.729
-0.380 0.000 4.258
7.556 0.000 0.234
8.524 0.000 3.860
14.646 0.000 4.657
15.613 0.000 8.283
1.929 0.000 1.626
10.926 0.000 1.325
12.244 0.000 7.192
21.240 0.000 6.891
```



3.
Entry from Alexandria: a relaxed structure of Sm2Y7Er3 (PBE).

Values from the calculation:
Relative energy among the computed polymorphs ... 230 meV/atom

```
Sm2Y7Er3
1.0
6.167 0.000 0.000
0.000 5.498 0.000
-0.200 0.000 12.157
Sm Y Er
2 7 3
Cartesian
0.537 0.000 3.385
5.430 0.000 8.772
0.192 2.749 10.007
1.522 0.000 6.621
2.420 0.000 10.102
3.083 2.749 0.000
3.547 0.000 2.055
4.444 0.000 5.536
5.774 2.749 2.150
0.000 0.000 0.000
2.681 2.749 4.166
3.286 2.749 7.991
```



4.
Entry from Alexandria: a relaxed structure of Sm3YEr2 (PBE).

Values from the calculation:
Relative energy among the computed polymorphs ... 0 meV/atom

```
Sm3YEr2
1.0
9.640 0.000 0.000
0.000 3.554 0.000
-0.811 0.000 11.504
Sm Y Er
6 2 4
Cartesian
0.636 0.889 1.374
1.608 0.889 9.890
3.373 0.889 6.941
5.456 2.666 4.563
7.222 2.666 1.614
8.193 2.666 10.130
2.046 2.666 4.074
6.783 0.889 7.430
0.280 2.666 7.132
4.148 0.889 1.646
4.682 2.666 9.858
8.550 0.889 4.372
```



5.
Entry from Alexandria: a relaxed structure of SmYEr2 (PBE).

Values from the calculation:
Relative energy among the computed polymorphs ... 14 meV/atom

```
SmYEr2
1.0
5.029 0.000 0.000
0.000 5.029 0.000
0.000 0.000 5.018
Sm Y Er
1 1 2
Cartesian
0.000 0.000 0.000
2.514 2.514 0.000
0.000 2.514 2.509
2.514 0.000 2.509
```



6.
Entry from Alexandria: a relaxed structure of Sm3Y4Er5 (PBE).

Values from the calculation:
Relative energy among the computed polymorphs ... 215 meV/atom

```
Sm3Y4Er5
1.0
7.964 -2.950 0.000
7.964 2.950 0.000
-4.113 0.000 8.322
Sm Y Er
3 4 5
Cartesian
0.000 0.000 0.000
1.481 0.000 6.378
10.333 0.000 1.943
4.131 0.000 1.013
4.366 0.000 4.660
7.448 0.000 3.662
7.683 0.000 7.309
-1.704 0.000 5.798
1.156 0.000 3.215
7.964 0.000 0.000
10.658 0.000 5.107
13.518 0.000 2.524
```



7.
Entry from Alexandria: a relaxed structure of Sm6Y3Er2 (PBE).

Values from the calculation:
Relative energy among the computed polymorphs ... 185 meV/atom

```
Sm6Y3Er2
1.0
-2.387 2.387 16.681
2.387 -2.387 16.681
2.387 2.387 -16.681
Sm Y Er
6 3 2
Cartesian
2.387 0.000 3.981
0.000 0.000 6.496
2.387 0.000 12.700
0.000 2.387 3.981
0.000 0.000 26.865
0.000 2.387 12.700
0.000 0.000 9.967
0.000 0.000 16.681
0.000 0.000 23.394
0.000 0.000 1.514
0.000 0.000 31.847
```



8.
Entry from Alexandria: a relaxed structure of Sm5Y3Er (PBE).

Values from the calculation:
Relative energy among the computed polymorphs ... 0 meV/atom

```
Sm5Y3Er
1.0
8.178 -3.379 0.000
8.178 3.379 0.000
-3.985 0.000 10.879
Sm Y Er
10 6 2
Cartesian
-0.389 0.014 5.970
1.603 -0.014 0.531
5.189 2.131 8.159
2.778 0.625 7.075
4.771 -0.625 1.636
7.600 0.625 9.243
9.593 -0.625 3.804
7.182 -2.131 2.720
10.768 0.014 10.349
12.760 -0.014 4.909
0.443 0.676 9.456
2.436 -0.676 4.016
8.178 0.000 0.000
6.186 0.000 5.440
9.935 0.676 6.863
11.928 -0.676 1.424
7.182 1.596 2.720
5.189 -1.596 8.159
```



9.
Entry from Alexandria: a relaxed structure of Sm6Y12Er (PBE).

Values from the calculation:
Relative energy among the computed polymorphs ... 0 meV/atom

```
Sm6Y12Er
1.0
5.987 3.457 5.103
-5.987 3.457 5.103
0.000 -6.914 5.103
Sm Y Er
6 12 1
Cartesian
-3.375 -0.799 7.861
-0.995 -3.323 7.449
-2.380 2.524 7.449
2.380 -2.524 7.861
0.995 3.323 7.861
3.375 0.799 7.449
-5.382 1.474 6.411
-3.968 -3.924 8.899
-2.061 0.111 4.739
1.415 -5.398 6.411
0.934 -1.840 4.739
1.127 1.729 4.739
-1.127 -1.729 10.571
-0.934 1.840 10.571
-1.415 5.398 8.899
2.061 -0.111 10.571
3.968 3.924 6.411
5.382 -1.474 8.899
0.000 0.000 7.655
```



10.
Entry from Alexandria: a relaxed structure of Sm4Y5Er2 (PBE).

Values from the calculation:
Relative energy among the computed polymorphs ... 51 meV/atom

```
Sm4Y5Er2
1.0
11.982 -1.743 0.000
11.982 1.743 0.000
-1.055 0.000 8.697
Sm Y Er
4 5 2
Cartesian
0.717 0.000 3.130
7.175 0.000 4.616
15.734 0.000 4.081
22.192 0.000 5.567
3.253 0.000 0.990
4.654 0.000 7.172
11.982 0.000 0.000
18.255 0.000 1.525
19.656 0.000 7.707
1.371 0.000 6.413
21.538 0.000 2.284
```



11.
Entry from Alexandria: a relaxed structure of Sm5Y4Er2 (PBE).

Values from the calculation:
Relative energy among the computed polymorphs ... 0 meV/atom

```
Sm5Y4Er2
1.0
5.567 -3.642 0.000
5.567 3.642 0.000
-2.826 0.000 8.909
Sm Y Er
5 4 2
Cartesian
0.000 0.000 0.000
2.773 1.612 6.496
5.536 1.612 2.413
2.773 -1.612 6.496
5.536 -1.612 2.413
0.585 0.000 8.884
2.635 0.000 3.392
5.674 0.000 5.517
7.724 0.000 0.026
-0.116 0.000 5.494
8.424 0.000 3.415
```



12.
Entry from Alexandria: a relaxed structure of Sm2YEr2 (PBE).

Values from the calculation:
Relative energy among the computed polymorphs ... 0 meV/atom

```
Sm2YEr2
1.0
9.278 0.000 0.000
0.000 9.278 0.000
0.000 0.000 3.767
Sm Y Er
4 2 4
Cartesian
1.204 3.435 0.000
3.435 8.074 0.000
5.844 1.204 0.000
8.074 5.844 0.000
0.000 0.000 0.000
4.639 4.639 0.000
1.567 6.206 1.883
3.073 1.567 1.883
6.206 7.712 1.883
7.712 3.073 1.883
```